(1)
Below is crystalline TlPPd3 at its relaxed geometry, with properties calculated at the PBEsol level.

Cell and atoms, written as CIF:
```
data_TlPPd3
_symmetry_space_group_name_H-M 'P 1'
_symmetry_Int_Tables_number 1
_cell_length_a 4.487
_cell_length_b 4.487
_cell_length_c 4.487
_cell_angle_alpha 90.00
_cell_angle_beta 90.00
_cell_angle_gamma 90.00
loop_
_symmetry_equiv_pos_as_xyz
'x,y,z'
loop_
_atom_site_label
_atom_site_type_symbol
_atom_site_fract_x
_atom_site_fract_y
_atom_site_fract_z
P1 P 0.000 0.000 0.000
Tl1 Tl 0.500 0.500 0.500
Pd1 Pd 0.000 0.500 0.000
Pd2 Pd 0.000 0.000 0.500
Pd3 Pd 0.500 0.000 0.000
```

Properties
ρ ... 10.19 Mg/m³
Space-group type ... Pm-3m (221)
Uncorrected energy ... -27.13 eV per cell

(2)
Below is crystalline Zr2MoCl at its relaxed geometry, with properties calculated at the PBEsol level.

Cell and atoms, written as CIF:
```
data_Zr2MoCl
_symmetry_space_group_name_H-M 'P 1'
_symmetry_Int_Tables_number 1
_cell_length_a 3.190
_cell_length_b 4.592
_cell_length_c 5.260
_cell_angle_alpha 96.20
_cell_angle_beta 107.65
_cell_angle_gamma 90.00
loop_
_symmetry_equiv_pos_as_xyz
'x,y,z'
loop_
_atom_site_label
_atom_site_type_symbol
_atom_site_fract_x
_atom_site_fract_y
_atom_site_fract_z
Mo1 Mo 0.721 0.850 0.443
Zr1 Zr 0.980 0.915 0.961
Zr2 Zr 0.266 0.350 0.532
Cl1 Cl 0.532 0.386 0.064
```

Properties
E above lowest polymorph ... 0.000 eV per atom
ρ ... 7.14 Mg/m³
Space-group type ... Cm (8)
Uncorrected energy ... -32.48 eV per cell

(3)
Below is crystalline CuTcW2 at its relaxed geometry, with properties calculated at the PBEsol level.

Cell and atoms, written as CIF:
```
data_CuTcW2
_symmetry_space_group_name_H-M 'P 1'
_symmetry_Int_Tables_number 1
_cell_length_a 2.644
_cell_length_b 5.027
_cell_length_c 5.027
_cell_angle_alpha 115.88
_cell_angle_beta 98.84
_cell_angle_gamma 98.84
loop_
_symmetry_equiv_pos_as_xyz
'x,y,z'
loop_
_atom_site_label
_atom_site_type_symbol
_atom_site_fract_x
_atom_site_fract_y
_atom_site_fract_z
Cu1 Cu 0.500 0.000 0.000
Tc1 Tc 0.500 0.500 0.500
W1 W 0.000 0.500 0.000
W2 W 0.000 0.000 0.500
```

Properties
E above lowest polymorph ... 0.000 eV per atom
ρ ... 15.27 Mg/m³
Space-group type ... C2/m (12)
Uncorrected energy ... -42.19 eV per cell

(4)
Below is crystalline YZn12 at its relaxed geometry, with properties calculated at the PBEsol level.

Cell and atoms, written as CIF:
```
data_YZn12
_symmetry_space_group_name_H-M 'P 1'
_symmetry_Int_Tables_number 1
_cell_length_a 5.044
_cell_length_b 6.676
_cell_length_c 6.676
_cell_angle_alpha 81.80
_cell_angle_beta 67.81
_cell_angle_gamma 67.81
loop_
_symmetry_equiv_pos_as_xyz
'x,y,z'
loop_
_atom_site_label
_atom_site_type_symbol
_atom_site_fract_x
_atom_site_fract_y
_atom_site_fract_z
Y1 Y 0.000 0.000 0.000
Zn1 Zn 0.716 0.784 0.784
Zn2 Zn 0.000 0.000 0.500
Zn3 Zn 0.500 0.500 0.000
Zn4 Zn 0.000 0.500 0.000
Zn5 Zn 0.500 0.000 0.500
Zn6 Zn 0.354 0.646 0.646
Zn7 Zn 0.000 0.354 0.646
Zn8 Zn 0.000 0.646 0.354
Zn9 Zn 0.646 0.354 0.354
Zn10 Zn 0.284 0.216 0.216
Zn11 Zn 0.500 0.784 0.216
Zn12 Zn 0.500 0.216 0.784
```

Properties
ρ ... 7.53 Mg/m³
Space-group type ... I4/mmm (139)
Uncorrected energy ... -28.44 eV per cell

(5)
Below is crystalline CrSbHI2 at its relaxed geometry, with properties calculated at the PBEsol level.

Cell and atoms, written as CIF:
```
data_CrSbHI2
_symmetry_space_group_name_H-M 'P 1'
_symmetry_Int_Tables_number 1
_cell_length_a 3.862
_cell_length_b 5.480
_cell_length_c 5.480
_cell_angle_alpha 90.00
_cell_angle_beta 90.00
_cell_angle_gamma 90.00
loop_
_symmetry_equiv_pos_as_xyz
'x,y,z'
loop_
_atom_site_label
_atom_site_type_symbol
_atom_site_fract_x
_atom_site_fract_y
_atom_site_fract_z
I1 I 0.000 0.000 0.500
I2 I 0.000 0.500 0.000
Sb1 Sb 0.500 0.000 0.000
H1 H 0.000 0.000 0.000
Cr1 Cr 0.500 0.500 0.500
```

Properties
ρ ... 6.14 Mg/m³
Space-group type ... P4/mmm (123)
Uncorrected energy ... -18.72 eV per cell

(6)
Below is crystalline CaSi2Se at its relaxed geometry, with properties calculated at the PBEsol level.

Cell and atoms, written as CIF:
```
data_CaSi2Se
_symmetry_space_group_name_H-M 'P 1'
_symmetry_Int_Tables_number 1
_cell_length_a 3.889
_cell_length_b 4.077
_cell_length_c 6.211
_cell_angle_alpha 108.92
_cell_angle_beta 90.00
_cell_angle_gamma 90.00
loop_
_symmetry_equiv_pos_as_xyz
'x,y,z'
loop_
_atom_site_label
_atom_site_type_symbol
_atom_site_fract_x
_atom_site_fract_y
_atom_site_fract_z
Ca1 Ca 0.000 0.953 0.530
Si1 Si 0.000 0.211 0.050
Si2 Si 0.500 0.320 0.260
Se1 Se 0.500 0.517 0.660
```

Properties
ρ ... 3.12 Mg/m³
Space-group type ... Pm (6)
Uncorrected energy ... -19.32 eV per cell

Which formula does entry 6 have? CaSi2Se

Which of these has the lowest ρ? CaSi2Se

The lowest ρ belongs to which entry? CaSi2Se